1.
Computed, not measured: an optimized crystal structure of BRu3C at the PBE level of DFT.

Output
Energy above the lowest structure with this stoichiometry ... 0.00 eV per formula unit
ΔE_f ... 0.80 eV per atom
Crystal system ... cubic

Lattice parameters (Å, degrees): 3.943 3.943 3.943 90.00 90.00 90.00
Atoms (fractional coordinates):
B1 0.000 0.000 0.000
Ru1 0.000 0.500 0.500
Ru2 0.500 0.000 0.500
Ru3 0.500 0.500 0.000
C1 0.500 0.500 0.500



2.
Computed, not measured: an optimized crystal structure of CoAg3Pb at the PBE level of DFT.

Output
Energy above the lowest structure with this stoichiometry ... 0.00 eV per formula unit
ΔE_f ... 0.70 eV per atom
Crystal system ... cubic

Lattice parameters (Å, degrees): 4.865 4.865 4.865 90.00 90.00 90.00
Atoms (fractional coordinates):
Co1 0.000 0.000 0.000
Ag1 0.000 0.000 0.500
Ag2 0.000 0.500 0.000
Ag3 0.500 0.000 0.000
Pb1 0.500 0.500 0.500